K2CdH | PBE | relaxed

Calculated values
**Space group**: No. 160
**Crystal system**: trigonal
**Raw total energy**: -6.60 eV per formula unit
**Density of states at the Fermi level**: 1.25 states/eV/f.u.
**Total magnetization**: 0.000 μB/atom

Cell lengths 3.917, 3.917, 9.633 Å; angles 78.31, 78.31, 59.98 degrees
Element x y z (fractional)
K (0.060, 0.060, 0.820)
K (0.273, 0.273, 0.180)
Cd (0.500, 0.500, 0.500)
H (0.667, 0.667, 0.000)

=====

ErPaIn | PBE | relaxed

Calculated values
**Space group**: No. 107
**ΔE_f**: -0.051 eV/atom
**Crystal system**: tetragonal
**Density of states at the Fermi level**: 5.33 states/eV/f.u.
**Total magnetization**: 0.000 μB/atom

Cell lengths 3.231, 3.231, 7.832 Å; angles 101.90, 101.90, 90.00 degrees
Element x y z (fractional)
Er (0.946, 0.946, 0.893)
Pa (0.620, 0.620, 0.239)
In (0.284, 0.284, 0.568)

=====

TbSn2Te4 | PBE | relaxed

Calculated values
**Space group**: No. 63
**Crystal system**: orthorhombic
**ΔE_f (raw)**: -0.59 eV/atom
**Density of states at the Fermi level**: 3.58 states/eV/f.u.
**Total magnetization**: 0.000 μB/atom

Cell lengths 4.317, 7.631, 14.625 Å; angles 90.00, 90.00, 106.43 degrees
Element x y z (fractional)
Tb (0.607, 0.213, 0.750)
Tb (0.393, 0.787, 0.250)
Sn (0.135, 0.271, 0.437)
Sn (0.865, 0.729, 0.937)
Sn (0.135, 0.271, 0.063)
Sn (0.865, 0.729, 0.563)
Te (0.784, 0.568, 0.131)
Te (0.784, 0.568, 0.369)
Te (0.216, 0.432, 0.869)
Te (0.216, 0.432, 0.631)
Te (0.957, 0.913, 0.750)
Te (0.043, 0.087, 0.250)
Te (0.500, 0.000, 0.000)
Te (0.500, 0.000, 0.500)